DFT (GGA-PBE) results for a relaxed SrTa2Ir crystal.

Values from the calculation:
formation energy from the elements	81.6	kJ per mole of atoms
uncorrected energy	-61.733	eV/cell

Lattice parameters (Å, degrees): 5.140 5.140 9.619 74.50 74.50 90.00
Fractional positions:
Sr 0.500 0.500 0.000
Sr 0.250 0.750 0.500
Ir 0.000 0.000 0.000
Ir 0.750 0.250 0.500
Ta 0.875 0.125 0.250
Ta 0.875 0.625 0.250
Ta 0.375 0.125 0.750
Ta 0.875 0.125 0.750